# VCuO2 PBE with a Hubbard U optimized geometry
data_VCuO2
_chemical_formula_sum 'V1 Cu1 O2'
_symmetry_space_group_name_H-M 'P m m m'
_symmetry_Int_Tables_number 47
_cell_length_a 2.9836
_cell_length_b 3.0778
_cell_length_c 5.2676
_cell_angle_alpha 90.00
_cell_angle_beta 90.00
_cell_angle_gamma 90.00
loop_
_symmetry_equiv_pos_as_xyz
'x,y,z'
'-x,-y,-z'
'-x,-y,z'
'x,y,-z'
'x,-y,-z'
'-x,y,z'
'-x,y,-z'
'x,-y,z'
loop_
_atom_site_label
_atom_site_fract_x
_atom_site_fract_y
_atom_site_fract_z
V1 0.0000 0.0000 0.0000
Cu1 0.5000 0.5000 0.5000
O1 0.5000 0.0000 0.2519
# magnetic moment: 1.941 μB per formula unit
# VASP energy: -0.23629 Ha/atom